! Mg2ScTl PBE-GGA relaxed; values from VASP
&SYSTEM
  ibrav = 0, nat = 4, ntyp = 3
/
ATOMIC_SPECIES
Mg 24.30 Mg.upf
Sc 44.96 Sc.upf
Tl 204.38 Tl.upf
CELL_PARAMETERS angstrom
1.677 0.968 10.124
-1.677 0.968 10.124
0.000 -1.936 10.124
ATOMIC_POSITIONS crystal
Mg 0.000 0.000 0.000
Mg 0.169 0.169 0.169
Sc 0.418 0.418 0.418
Tl 0.585 0.585 0.585
! Electronic total energy ... -2.9638 eV per atom
! Formation energy ... 0.008 eV per atom
! SG ... No. 160
! V ... 24.65 Å³/atom

***

! SrY2As PBE-GGA relaxed; values from VASP
&SYSTEM
  ibrav = 0, nat = 4, ntyp = 3
/
ATOMIC_SPECIES
Sr 87.62 Sr.upf
Y 88.91 Y.upf
As 74.92 As.upf
CELL_PARAMETERS angstrom
0.000 3.877 3.877
3.877 0.000 3.877
3.877 3.877 0.000
ATOMIC_POSITIONS crystal
Sr 0.000 0.000 0.000
Y 0.250 0.250 0.250
Y 0.500 0.500 0.500
As 0.750 0.750 0.750
! Electronic total energy ... -4.8007 eV per atom
! Formation energy ... 0.014 eV per atom
! SG ... No. 216
! V ... 29.14 Å³/atom

***

! La3CeDy2P6 PBE-GGA relaxed; values from VASP
&SYSTEM
  ibrav = 0, nat = 12, ntyp = 4
/
ATOMIC_SPECIES
La 138.91 La.upf
Ce 140.12 Ce.upf
Dy 162.50 Dy.upf
P 30.97 P.upf
CELL_PARAMETERS angstrom
3.591 -6.219 0.000
3.591 6.219 0.000
-2.394 0.000 6.796
ATOMIC_POSITIONS crystal
La 0.000 0.000 0.000
La 0.333 0.667 0.000
La 0.667 0.333 0.000
Ce 0.500 0.500 0.500
Dy 0.167 0.833 0.500
Dy 0.833 0.167 0.500
P 0.089 0.421 0.264
P 0.246 0.246 0.735
P 0.421 0.089 0.264
P 0.579 0.911 0.736
P 0.754 0.754 0.265
P 0.911 0.579 0.736
! Electronic total energy ... -6.7699 eV per atom
! Formation energy ... -1.572 eV per atom
! SG ... No. 12
! V ... 25.29 Å³/atom

***

! MgSiW2 PBE-GGA relaxed; values from VASP
&SYSTEM
  ibrav = 0, nat = 4, ntyp = 3
/
ATOMIC_SPECIES
Mg 24.30 Mg.upf
Si 28.09 Si.upf
W 183.84 W.upf
CELL_PARAMETERS angstrom
2.712 0.000 0.000
0.000 4.221 0.000
0.000 0.000 5.459
ATOMIC_POSITIONS crystal
Mg 0.000 0.000 0.000
Si 0.000 0.000 0.500
W 0.500 0.500 0.257
W 0.500 0.500 0.743
! Electronic total energy ... -7.7932 eV per atom
! Energy relative to the elements, uncorrected ... 437.8 meV/atom
! SG ... No. 47
! V ... 15.62 Å³/atom

***

! Ca2LaMn PBE-GGA relaxed; values from VASP
&SYSTEM
  ibrav = 0, nat = 4, ntyp = 3
/
ATOMIC_SPECIES
Ca 40.08 Ca.upf
La 138.91 La.upf
Mn 54.94 Mn.upf
CELL_PARAMETERS angstrom
-2.812 2.812 3.985
2.812 -2.812 3.985
2.812 2.812 -3.985
ATOMIC_POSITIONS crystal
Ca 0.000 0.000 0.000
Ca 0.750 0.250 0.500
La 0.250 0.750 0.500
Mn 0.500 0.500 0.000
! Electronic total energy ... -4.1908 eV per atom
! Formation energy ... 0.334 eV per atom
! SG ... No. 119
! V ... 31.51 Å³/atom

***

! TbAsS PBE-GGA relaxed; values from VASP
&SYSTEM
  ibrav = 0, nat = 12, ntyp = 3
/
ATOMIC_SPECIES
Tb 158.93 Tb.upf
As 74.92 As.upf
S 32.06 S.upf
CELL_PARAMETERS angstrom
7.062 0.000 0.000
0.000 3.792 0.000
0.000 0.000 9.597
ATOMIC_POSITIONS crystal
Tb 0.205 0.250 0.160
Tb 0.295 0.750 0.660
Tb 0.705 0.250 0.340
Tb 0.795 0.750 0.840
As 0.104 0.250 0.459
As 0.396 0.750 0.959
As 0.604 0.250 0.041
As 0.896 0.750 0.541
S 0.087 0.250 0.840
S 0.413 0.750 0.340
S 0.587 0.250 0.660
S 0.913 0.750 0.160
! Electronic total energy ... -5.9526 eV per atom
! Energy relative to the elements, uncorrected ... -1483.5 meV/atom
! SG ... No. 62
! V ... 21.41 Å³/atom

***

! Pm4CoCI2 PBE-GGA relaxed; values from VASP
&SYSTEM
  ibrav = 0, nat = 8, ntyp = 4
/
ATOMIC_SPECIES
Pm 145.00 Pm.upf
Co 58.93 Co.upf
C 12.01 C.upf
I 126.90 I.upf
CELL_PARAMETERS angstrom
7.013 0.000 0.000
0.000 3.947 0.000
-2.190 0.000 7.830
ATOMIC_POSITIONS crystal
Pm 0.217 0.000 0.169
Pm 0.257 0.500 0.822
Pm 0.743 0.500 0.178
Pm 0.783 0.000 0.831
Co 0.500 0.000 0.000
C 0.000 0.500 0.000
I 0.000 0.000 0.500
I 0.500 0.500 0.500
! Electronic total energy ... -5.3888 eV per atom
! Energy relative to the elements, uncorrected ... -584.8 meV/atom
! SG ... No. 10
! V ... 27.09 Å³/atom

***

! LaBe2V PBE-GGA relaxed; values from VASP
&SYSTEM
  ibrav = 0, nat = 4, ntyp = 3
/
ATOMIC_SPECIES
La 138.91 La.upf
Be 9.01 Be.upf
V 50.94 V.upf
CELL_PARAMETERS angstrom
0.000 3.287 3.287
3.287 0.000 3.287
3.287 3.287 0.000
ATOMIC_POSITIONS crystal
La 0.000 0.000 0.000
Be 0.250 0.250 0.250
Be 0.750 0.750 0.750
V 0.500 0.500 0.500
! Electronic total energy ... -4.8768 eV per atom
! Formation energy ... 0.498 eV per atom
! SG ... No. 225
! V ... 17.76 Å³/atom

***

! AcLaPmY3 PBE-GGA relaxed; values from VASP
&SYSTEM
  ibrav = 0, nat = 12, ntyp = 4
/
ATOMIC_SPECIES
Ac 227.00 Ac.upf
La 138.91 La.upf
Pm 145.00 Pm.upf
Y 88.91 Y.upf
CELL_PARAMETERS angstrom
11.035 0.000 0.000
0.000 3.699 0.000
-3.731 0.000 10.393
ATOMIC_POSITIONS crystal
Ac 0.211 0.250 0.370
Ac 0.789 0.750 0.630
La 0.128 0.750 0.629
La 0.872 0.250 0.371
Pm 0.379 0.250 0.878
Pm 0.621 0.750 0.122
Y 0.043 0.250 0.882
Y 0.294 0.750 0.118
Y 0.461 0.750 0.630
Y 0.539 0.250 0.370
Y 0.706 0.250 0.882
Y 0.957 0.750 0.118
! Electronic total energy ... -5.4960 eV per atom
! Formation energy ... 0.034 eV per atom
! SG ... No. 11
! V ... 35.35 Å³/atom

***

! NbZnAgMo2 PBE-GGA relaxed; values from VASP
&SYSTEM
  ibrav = 0, nat = 5, ntyp = 4
/
ATOMIC_SPECIES
Nb 92.91 Nb.upf
Zn 65.41 Zn.upf
Ag 107.87 Ag.upf
Mo 95.94 Mo.upf
CELL_PARAMETERS angstrom
4.742 0.000 0.000
0.000 4.742 0.000
0.000 0.000 5.144
ATOMIC_POSITIONS crystal
Nb 0.000 0.000 0.000
Zn 0.500 0.500 0.500
Ag 0.000 0.000 0.500
Mo 0.000 0.500 0.000
Mo 0.500 0.000 0.000
! Electronic total energy ... -5.4563 eV per atom
! Formation energy ... 1.715 eV per atom
! SG ... No. 123
! V ... 23.13 Å³/atom

***

! BaLi2Zr3Se8 PBE-GGA relaxed; values from VASP
&SYSTEM
  ibrav = 0, nat = 14, ntyp = 4
/
ATOMIC_SPECIES
Ba 137.33 Ba.upf
Li 6.94 Li.upf
Zr 91.22 Zr.upf
Se 78.96 Se.upf
CELL_PARAMETERS angstrom
3.913 2.259 8.238
-3.913 2.259 8.238
0.000 -4.518 8.238
ATOMIC_POSITIONS crystal
Ba 0.000 0.000 0.000
Li 0.149 0.149 0.149
Li 0.585 0.585 0.585
Zr 0.152 0.640 0.640
Zr 0.640 0.152 0.640
Zr 0.640 0.640 0.152
Se 0.377 0.377 0.869
Se 0.377 0.869 0.377
Se 0.413 0.413 0.413
Se 0.429 0.910 0.910
Se 0.869 0.377 0.377
Se 0.871 0.871 0.871
Se 0.910 0.429 0.910
Se 0.910 0.910 0.429
! Electronic total energy ... -5.5853 eV per atom
! Energy relative to the elements, uncorrected ... -1351.6 meV/atom
! SG ... No. 160
! V ... 31.21 Å³/atom

***

! HoZr2Co2 PBE-GGA relaxed; values from VASP
&SYSTEM
  ibrav = 0, nat = 5, ntyp = 3
/
ATOMIC_SPECIES
Ho 164.93 Ho.upf
Zr 91.22 Zr.upf
Co 58.93 Co.upf
CELL_PARAMETERS angstrom
5.555 -1.779 0.000
5.555 1.779 0.000
-1.053 0.000 5.012
ATOMIC_POSITIONS crystal
Ho 0.000 0.000 0.000
Zr 0.355 0.355 0.434
Zr 0.645 0.645 0.566
Co 0.272 0.272 0.869
Co 0.728 0.728 0.131
! Electronic total energy ... -7.3336 eV per atom
! Formation energy ... -0.156 eV per atom
! SG ... No. 12
! V ... 19.82 Å³/atom

***

! Ce5NiGe2 PBE-GGA relaxed; values from VASP
&SYSTEM
  ibrav = 0, nat = 8, ntyp = 3
/
ATOMIC_SPECIES
Ce 140.12 Ce.upf
Ni 58.69 Ni.upf
Ge 72.64 Ge.upf
CELL_PARAMETERS angstrom
2.541 1.467 7.925
-2.541 1.467 7.925
0.000 -2.935 7.925
ATOMIC_POSITIONS crystal
Ce 0.000 0.000 0.000
Ce 0.127 0.127 0.127
Ce 0.258 0.258 0.258
Ce 0.742 0.742 0.742
Ce 0.873 0.873 0.873
Ni 0.500 0.500 0.500
Ge 0.395 0.395 0.395
Ge 0.605 0.605 0.605
! Electronic total energy ... -5.9627 eV per atom
! Formation energy ... -0.377 eV per atom
! SG ... No. 166
! V ... 22.16 Å³/atom

***

! Rb3Zn2CdF9 PBE-GGA relaxed; values from VASP
&SYSTEM
  ibrav = 0, nat = 15, ntyp = 4
/
ATOMIC_SPECIES
Rb 85.47 Rb.upf
Zn 65.41 Zn.upf
Cd 112.41 Cd.upf
F 19.00 F.upf
CELL_PARAMETERS angstrom
6.055 0.000 0.000
-3.028 5.244 0.000
0.000 0.000 7.437
ATOMIC_POSITIONS crystal
Rb 0.000 0.000 0.000
Rb 0.333 0.667 0.669
Rb 0.667 0.333 0.331
Zn 0.333 0.667 0.157
Zn 0.667 0.333 0.843
Cd 0.000 0.000 0.500
F 0.000 0.500 0.000
F 0.174 0.348 0.322
F 0.174 0.826 0.322
F 0.348 0.174 0.678
F 0.500 0.000 0.000
F 0.500 0.500 0.000
F 0.652 0.826 0.322
F 0.826 0.174 0.678
F 0.826 0.652 0.678
! Electronic total energy ... -4.0609 eV per atom
! Energy relative to the elements, uncorrected ... -2513.7 meV/atom
! SG ... No. 164
! V ... 15.74 Å³/atom

***

! PrPuRu4 PBE-GGA relaxed; values from VASP
&SYSTEM
  ibrav = 0, nat = 6, ntyp = 3
/
ATOMIC_SPECIES
Pr 140.91 Pr.upf
Pu 244.00 Pu.upf
Ru 101.07 Ru.upf
CELL_PARAMETERS angstrom
0.000 3.805 3.805
3.805 0.000 3.805
3.805 3.805 0.000
ATOMIC_POSITIONS crystal
Pr 0.000 0.000 0.000
Pu 0.750 0.750 0.750
Ru 0.375 0.375 0.375
Ru 0.375 0.375 0.874
Ru 0.375 0.874 0.375
Ru 0.874 0.375 0.375
! Electronic total energy ... -9.4769 eV per atom
! Formation energy ... -0.108 eV per atom
! SG ... No. 216
! V ... 18.37 Å³/atom